A plane-wave DFT calculation with PBE was carried out for an optimized crystal structure of Ba2MgPb2.

abc: 4.5780 4.5780 20.4767
angles: 90.00 90.00 90.00
Closest atoms and distances in Å follow each position.
Space group I4/mmm (No. 139)
Symmetry-distinct sites (fractional):
1 Ba 0.0000 0.0000 0.1061  4 Pb 3.73, 4 Mg 3.90
2 Mg 0.0000 0.0000 0.5000  8 Ba 3.90
3 Pb 0.0000 0.5000 0.2500  4 Pb 3.24

The energy above the most stable polymorph in this dataset comes out at 2.03 eV per formula unit. The calculation puts the formation energy at -0.090 eV/atom.



A plane-wave DFT calculation with PBE was carried out for an optimized crystal structure of BeBMo4.

abc: 5.5958 5.5958 10.0023
angles: 90.00 90.00 90.00
Closest atoms and distances in Å follow each position.
Space group I4/mcm (No. 140)
Symmetry-distinct sites (fractional):
1 Be 0.0000 0.0000 0.0000  8 Mo 2.47, 2 B 2.50
2 B 0.0000 0.0000 0.2500  8 Mo 2.39, 2 Be 2.50
3 Mo 0.1688 0.3312 0.1333  2 B 2.39, 2 Be 2.47, 3 Mo 2.66-2.67

The energy above the most stable polymorph in this dataset comes out at 1.60 eV per formula unit. The calculation puts the formation energy at 0.023 eV/atom.



A plane-wave DFT calculation with PBE was carried out for an optimized crystal structure of Be3CO.

abc: 3.3950 3.3950 3.3950
angles: 90.00 90.00 90.00
Closest atoms and distances in Å follow each position.
Space group Pm-3m (No. 221)
Symmetry-distinct sites (fractional):
1 Be 0.0000 0.0000 0.5000  2 C 1.70
2 C 0.0000 0.0000 0.0000  6 Be 1.70
3 O 0.5000 0.5000 0.5000  12 Be 2.40

The energy above the most stable polymorph in this dataset comes out at 0.00 eV per formula unit. The value obtained for the formation energy (no corrections) is -38 kJ per mole of atoms.



A plane-wave DFT calculation with PBE was carried out for an optimized crystal structure of CaReSbTe2.

abc: 5.5461 5.5461 5.0538
angles: 90.00 90.00 90.00
Closest atoms and distances in Å follow each position.
Space group P4/mmm (No. 123)
Symmetry-distinct sites (fractional):
1 Ca 0.0000 0.0000 0.0000  8 Te 3.75, 4 Sb 3.92
2 Re 0.5000 0.5000 0.5000  2 Sb 2.53, 4 Te 2.77
3 Sb 0.5000 0.5000 0.0000  2 Re 2.53
4 Te 0.0000 0.5000 0.5000  2 Re 2.77

The energy above the most stable polymorph in this dataset comes out at 0.00 eV per formula unit. The value obtained for the formation energy (no corrections) is 19 kJ per mole of atoms.



A plane-wave DFT calculation with PBE was carried out for an optimized crystal structure of Pr6CdIn3.

abc: 9.6763 5.4897 12.1308
angles: 90.00 107.94 90.00
Closest atoms and distances in Å follow each position.
Space group P2_1/m (No. 11)
Symmetry-distinct sites (fractional):
1 Pr 0.0406 0.2500 0.4143  7 In 3.32-3.66, 4 Pr 3.51-3.70
2 Pr 0.1624 0.7500 0.1767  5 In 3.30-3.46, 1 Cd 3.37, 2 Pr 3.64
3 Pr 0.2446 0.2500 0.0003  4 In 3.28-3.47, 3 Cd 3.35-3.42
4 Pr 0.3435 0.7500 0.8002  3 Cd 3.35-3.37, 3 In 3.38-3.43, 3 Pr 3.66-3.75
5 Pr 0.3686 0.2500 0.3475  4 Pr 3.24-3.51, 3 In 3.42-3.50
6 Pr 0.4113 0.2500 0.6235  3 Pr 3.24-3.43, 4 In 3.30-3.62, 1 Cd 3.31
7 Cd 0.4612 0.7500 0.0901  8 Pr 3.31-3.42
8 In 0.0361 0.7500 0.8773  8 Pr 3.30-3.47, 2 In 3.62
9 In 0.1241 0.2500 0.7165  8 Pr 3.28-3.50, 2 In 3.62
10 In 0.2705 0.7500 0.4740  10 Pr 3.34-3.66

The energy above the most stable polymorph in this dataset comes out at 0.00 eV per formula unit. The calculation puts the formation energy at -0.347 eV/atom.



A plane-wave DFT calculation with PBE was carried out for an optimized crystal structure of Mn2AlSb.

abc: 4.0751 4.0751 3.8454
angles: 90.00 90.00 90.00
Closest atoms and distances in Å follow each position.
Space group P4/mmm (No. 123)
Symmetry-distinct sites (fractional):
1 Mn 0.0000 0.5000 0.0000  4 Sb 2.80, 4 Al 2.80, 4 Mn 2.88
2 Al 0.0000 0.0000 0.5000  8 Mn 2.80, 4 Sb 2.88
3 Sb 0.5000 0.5000 0.5000  8 Mn 2.80, 4 Al 2.88

The energy above the most stable polymorph in this dataset comes out at 0.16 eV per formula unit. The value obtained for the formation energy (no corrections) is 10 kJ per mole of atoms.



A plane-wave DFT calculation with PBE was carried out for an optimized crystal structure of Ag3H3Rh.

abc: 5.1014 5.1014 21.3605
angles: 90.00 90.00 120.00
Closest atoms and distances in Å follow each position.
Space group R-3 (No. 148, hexagonal axes)
Symmetry-distinct sites (fractional):
1 Ag 0.0006 0.6691 0.2785  3 H 2.50-2.52
2 H 0.0001 0.3323 0.1920  2 Rh 1.78-1.79
3 Rh 0.0000 0.0000 0.1657  6 H 1.78-1.79



A plane-wave DFT calculation with PBE was carried out for an optimized crystal structure of YPW2.

abc: 3.4246 4.8961 8.5173
angles: 90.00 90.00 90.00
Closest atoms and distances in Å follow each position.
Space group Cmm2 (No. 35)
Symmetry-distinct sites (fractional):
1 Y 0.0000 0.0000 0.0000  2 P 2.75, 4 Y 2.99, 2 W 3.04
2 P 0.0000 0.5000 0.2521  2 W 2.49, 2 Y 2.75
3 W 0.0000 0.0000 0.4641  2 P 2.49, 2 W 2.67
4 W 0.0000 0.5000 0.7048  6 W 2.67-2.99

The calculation puts the formation energy at 0.178 eV/atom.



A plane-wave DFT calculation with PBE was carried out for an optimized crystal structure of Tb7Ir2Pb2.

abc: 8.3970 10.9182 7.2164
angles: 90.00 90.00 90.00
Closest atoms and distances in Å follow each position.
Space group Cmmm (No. 65)
Symmetry-distinct sites (fractional):
1 Tb 0.0000 0.0000 0.0000  2 Ir 3.09
2 Tb 0.0000 0.5000 0.2305  2 Ir 2.89
3 Tb 0.2500 0.2500 0.2423  2 Ir 2.76
4 Ir 0.0000 0.2834 0.0000  6 Tb 2.76-2.89
5 Pb 0.1878 0.0000 0.5000  1 Pb 3.15, 6 Tb 3.26-3.34

The calculation puts the formation energy at -0.481 eV/atom.



A plane-wave DFT calculation with PBE was carried out for an optimized crystal structure of YCr2Cd.

abc: 7.7290 7.7290 6.0783
angles: 90.00 90.00 90.00
Closest atoms and distances in Å follow each position.
Space group I-42d (No. 122)
Symmetry-distinct sites (fractional):
1 Y 0.0000 0.0000 0.0000  4 Cr 2.97, 2 Cd 3.04
2 Cr 0.2253 0.7500 0.6250  2 Cd 2.71, 2 Y 2.97
3 Cd 0.0000 0.0000 0.5000  4 Cr 2.71

The calculation puts the formation energy at 0.777 eV/atom.



A plane-wave DFT calculation with PBE was carried out for an optimized crystal structure of RbNa3Co.

abc: 5.8545 5.8545 5.8545
angles: 90.00 90.00 90.00
Closest atoms and distances in Å follow each position.
Space group Pm-3m (No. 221)
Symmetry-distinct sites (fractional):
1 Rb 0.0000 0.0000 0.0000  12 Na 4.14
2 Na 0.0000 0.5000 0.5000  2 Co 2.93
3 Co 0.5000 0.5000 0.5000  6 Na 2.93

The calculation puts the formation energy at 0.602 eV/atom.



A plane-wave DFT calculation with PBE was carried out for an optimized crystal structure of Ge2PdC.

abc: 5.5917 5.5917 8.0493
angles: 90.00 90.00 90.00
Closest atoms and distances in Å follow each position.
Space group I-42d (No. 122)
Symmetry-distinct sites (fractional):
1 Ge 0.1803 0.2500 0.1250  2 C 2.00
2 Pd 0.0000 0.0000 0.5000  4 Ge 2.48
3 C 0.0000 0.0000 0.0000  4 Ge 2.00

The calculation puts the formation energy at 0.326 eV/atom.



| no. | total DFT energy (no corrections) (eV for the cell shown) | DOS at the Fermi energy (states/eV/atom) |
| --- | --- | --- |
| 1 | -26.61 | 0.999 |
| 2 | -214.35 | 0.435 |
| 3 | -27.32 | 0.000 |
| 4 | -23.87 | 0.748 |
| 5 | -82.56 | 1.021 |
| 6 | -25.79 | 0.682 |
| 7 | -153.66 | 0.230 |
| 8 | -74.14 | 0.765 |
| 9 | -125.69 | 0.736 |
| 10 | -94.08 | 1.250 |
| 11 | -9.02 | 3.666 |
| 12 | -89.39 | 0.023 |